(1)
Tm4Bi5Ru: optimized geometry, PBE-GGA.

Cell: 3.4980 9.6972 9.1588 Å, 88.66 101.01 90.00°
Fractional coordinates of all 10 atoms:
Bi 0.5000 0.5000 0.0000
Tm 0.6430 0.0536 0.2859
Tm 0.3570 0.9464 0.7141
Tm 0.9766 0.2144 0.9533
Bi 0.1498 0.3590 0.2995
Bi 0.8005 0.2168 0.6011
Ru 0.5000 0.0000 0.0000
Tm 0.0234 0.7856 0.0467
Bi 0.1995 0.7832 0.3989
Bi 0.8502 0.6410 0.7005

Computed properties:
Total magnetization ... 0.000 μB per atom
Space group ... C2/m (12)
E_form ... -0.34 eV/atom

(2)
Nd3Pa2Ru4: optimized geometry, PBE-GGA.

Cell: 4.2765 6.0501 9.0686 Å, 100.50 90.00 110.70°
Fractional coordinates of all 9 atoms:
Nd 0.3773 0.7545 0.6146
Pa 0.3229 0.6458 0.2183
Nd 0.6227 0.2455 0.3854
Ru 0.9096 0.8191 0.3581
Ru 0.0904 0.1809 0.6419
Ru 0.7187 0.4374 0.0941
Pa 0.6771 0.3542 0.7817
Ru 0.2813 0.5626 0.9059
Nd 0.0000 0.0000 0.0000

Computed properties:
Total magnetization ... 0.000 μB per atom
Space group ... C2/m (12)
E_form ... -0.45 eV/atom

(3)
Zn4Au3: optimized geometry, PBE-GGA.

Cell: 3.3099 3.4491 10.1930 Å, 99.74 99.34 90.00°
Fractional coordinates of all 7 atoms:
Zn 0.4277 0.9277 0.8554
Zn 0.7149 0.2149 0.4297
Au 0.0000 0.5000 0.0000
Zn 0.2851 0.7851 0.5703
Zn 0.5723 0.0723 0.1446
Au 0.1476 0.6476 0.2952
Au 0.8524 0.3524 0.7048

Computed properties:
Total magnetization ... 0.000 μB per atom
Space group ... Immm (71)
E_form ... -0.19 eV/atom